No. 1
CaNiOs: optimized geometry, GGA-PBE.

Cell: 4.5652 4.5652 2.7786 Å, 90.00 90.00 120.00°
Sites, in units of the cell vectors:
Ca (0.0000, 0.0000, 0.9998)
Os (0.3333, 0.6667, 0.4998)
Ni (0.6667, 0.3333, 0.5002)

## Properties
E_tot (eV per cell): -17.4
Symmetry: P-6m2
Theoretical density (g cm⁻³): 9.57

***

No. 2
CaNi2Os: optimized geometry, GGA-PBE.

Cell: 2.8767 2.8556 7.3771 Å, 90.00 90.00 90.00°
Sites, in units of the cell vectors:
Os (0.0000, 0.0000, 0.4423)
Ni (0.5000, 0.5000, 0.2397)
Ni (0.0000, 0.0000, 0.0556)
Ca (0.5000, 0.5000, 0.7625)

## Properties
E_tot (eV per cell): -23.5
Symmetry: Pmm2
Theoretical density (g cm⁻³): 9.53

***

No. 3
CaNiOs2: optimized geometry, GGA-PBE.

Cell: 4.7436 2.7917 4.8388 Å, 82.16 90.00 90.00°
Sites, in units of the cell vectors:
Ni (0.5000, 0.7500, 0.7500)
Os (0.0000, 0.9273, 0.9838)
Os (0.0000, 0.5727, 0.5162)
Ca (0.5000, 0.2500, 0.2500)

## Properties
E_tot (eV per cell): -28.2
Symmetry: P2/m
Theoretical density (g cm⁻³): 12.54

***

No. 4
Ca2NiOs: optimized geometry, GGA-PBE.

Cell: 3.3660 3.2933 8.2854 Å, 90.00 90.00 90.00°
Sites, in units of the cell vectors:
Os (0.5000, 0.5000, 0.6728)
Ca (0.5000, 0.5000, 0.3315)
Ca (0.0000, 0.0000, 0.9204)
Ni (0.0000, 0.0000, 0.5753)

## Properties
E_tot (eV per cell): -19.8
Symmetry: Pmm2
Theoretical density (g cm⁻³): 5.95

***

No. 5
CaNiOs2: optimized geometry, GGA-PBE.

Cell: 5.1724 5.1724 2.6000 Å, 90.00 90.00 116.23°
Sites, in units of the cell vectors:
Ni (0.0000, 0.5000, 0.5000)
Ca (0.5000, 0.0000, 0.5000)
Os (0.0000, 0.0000, 0.0000)
Os (0.5000, 0.5000, 0.0000)

## Properties
E_tot (eV per cell): -27.6
Symmetry: Cmmm
Theoretical density (g cm⁻³): 12.75

***

No. 6
CaNi2Os: optimized geometry, GGA-PBE.

Cell: 4.4050 4.4050 4.4050 Å, 60.00 60.00 60.00°
Sites, in units of the cell vectors:
Ni (0.2500, 0.2500, 0.2500)
Ni (0.0000, 0.0000, 0.0000)
Os (0.7500, 0.7500, 0.7500)
Ca (0.5000, 0.5000, 0.5000)

## Properties
E_tot (eV per cell): -22.3
Symmetry: F-43m
Theoretical density (g cm⁻³): 9.55

***

No. 7
CaNi3Os: optimized geometry, GGA-PBE.

Cell: 4.5750 4.5750 4.5750 Å, 90.00 90.00 90.00°
Sites, in units of the cell vectors:
Ni (0.0000, 0.5000, 0.0000)
Ni (0.0000, 0.0000, 0.5000)
Ni (0.5000, 0.0000, 0.0000)
Os (0.0000, 0.0000, 0.0000)
Ca (0.5000, 0.5000, 0.5000)

## Properties
E_tot (eV per cell): -27.4
Symmetry: Pm-3m
Theoretical density (g cm⁻³): 7.05

***

No. 8
Ca2NiOs: optimized geometry, GGA-PBE.

Cell: 7.3347 5.2290 2.9407 Å, 89.98 66.39 126.07°
Sites, in units of the cell vectors:
Ca (0.0000, 0.0000, 0.0000)
Ca (0.5000, 0.0000, 0.5000)
Os (0.5000, 0.5000, 0.0000)
Ni (0.0000, 0.5000, 0.5000)

## Properties
E_tot (eV per cell): -19.2
Symmetry: Cmmm
Theoretical density (g cm⁻³): 6.90

***

No. 9
Ca2NiOs: optimized geometry, GGA-PBE.

Cell: 4.7619 4.7619 4.7619 Å, 60.00 60.00 60.00°
Sites, in units of the cell vectors:
Ca (0.2500, 0.2500, 0.2500)
Ca (0.0000, 0.0000, 0.0000)
Os (0.7500, 0.7500, 0.7500)
Ni (0.5000, 0.5000, 0.5000)

## Properties
E_tot (eV per cell): -18.8
Symmetry: F-43m
Theoretical density (g cm⁻³): 7.16

***

No. 10
CaNiOs: optimized geometry, GGA-PBE.

Cell: 5.6044 5.6044 5.6044 Å, 152.14 139.31 50.03°
Sites, in units of the cell vectors:
Ca (0.0025, 0.0025, 0.0000)
Ni (0.2852, 0.2852, 0.0000)
Os (0.7123, 0.7123, 0.0000)

## Properties
E_tot (eV per cell): -18.1
Symmetry: Imm2
Theoretical density (g cm⁻³): 8.99

***

No. 11
Ca2NiOs: optimized geometry, GGA-PBE.

Cell: 9.0685 9.0685 9.0685 Å, 20.33 20.33 20.33°
Sites, in units of the cell vectors:
Os (0.2500, 0.2500, 0.2500)
Ca (0.4996, 0.4996, 0.4996)
Ca (0.0004, 0.0004, 0.0004)
Ni (0.7500, 0.7500, 0.7500)

## Properties
E_tot (eV per cell): -18.5
Symmetry: R-3m
Theoretical density (g cm⁻³): 6.94

***

No. 12
CaNiOs: optimized geometry, GGA-PBE.

Cell: 4.4535 4.4535 4.4535 Å, 60.00 60.00 60.00°
Sites, in units of the cell vectors:
Os (0.5000, 0.5000, 0.5000)
Ni (0.0000, 0.0000, 0.0000)
Ca (0.7500, 0.7500, 0.7500)

## Properties
E_tot (eV per cell): -13.8
Symmetry: F-43m
Theoretical density (g cm⁻³): 7.68

***

No. 13
CaNiOs2: optimized geometry, GGA-PBE.

Cell: 4.2595 2.7672 5.7327 Å, 75.92 90.00 90.00°
Sites, in units of the cell vectors:
Os (0.5000, 0.2285, 0.1663)
Os (0.0000, 0.7969, 0.0272)
Ni (0.5000, 0.9287, 0.7701)
Ca (0.0000, 0.5458, 0.5365)

## Properties
E_tot (eV per cell): -29.0
Symmetry: Pm
Theoretical density (g cm⁻³): 12.14

***

No. 14
CaNi2Os: optimized geometry, GGA-PBE.

Cell: 4.5817 4.5817 8.5820 Å, 74.52 74.52 90.00°
Sites, in units of the cell vectors:
Os (0.0000, 0.0000, 0.0000)
Os (0.7500, 0.2500, 0.5000)
Ca (0.5000, 0.5000, 0.0000)
Ca (0.2500, 0.7500, 0.5000)
Ni (0.8155, 0.1250, 0.2500)
Ni (0.3750, 0.1845, 0.7500)
Ni (0.8750, 0.0655, 0.7500)
Ni (0.9345, 0.6250, 0.2500)

## Properties
E_tot (eV per cell): -44.8
Symmetry: I-42d
Theoretical density (g cm⁻³): 6.92

***

No. 15
CaNiOs2: optimized geometry, GGA-PBE.

Cell: 4.6677 4.6677 5.5137 Å, 82.28 82.28 34.60°
Sites, in units of the cell vectors:
Os (0.2609, 0.2609, 0.1641)
Os (0.0041, 0.0041, 0.0225)
Ca (0.4966, 0.4966, 0.5208)
Ni (0.7384, 0.7384, 0.7927)

## Properties
E_tot (eV per cell): -28.7
Symmetry: Cm
Theoretical density (g cm⁻³): 11.78

***

No. 16
CaNiOs2: optimized geometry, GGA-PBE.

Cell: 2.8543 4.5477 4.8277 Å, 90.00 90.00 90.00°
Sites, in units of the cell vectors:
Os (0.0000, 0.0000, 0.0000)
Os (0.5000, 0.5000, 0.0000)
Ni (0.0000, 0.5000, 0.5000)
Ca (0.5000, 0.0000, 0.5000)

## Properties
E_tot (eV per cell): -28.2
Symmetry: Pmmm
Theoretical density (g cm⁻³): 12.70

***

No. 17
CaNi2Os: optimized geometry, GGA-PBE.

Cell: 4.6274 4.6279 2.7032 Å, 90.00 90.00 90.00°
Sites, in units of the cell vectors:
Os (0.5000, 0.0000, 0.5000)
Ni (0.5000, 0.5000, 0.0000)
Ni (0.0000, 0.0000, 0.0000)
Ca (0.0000, 0.5000, 0.5000)

## Properties
E_tot (eV per cell): -23.7
Symmetry: P4/mmm
Theoretical density (g cm⁻³): 9.97

***

No. 18
Ca3NiOs: optimized geometry, GGA-PBE.

Cell: 5.3780 5.3780 5.3780 Å, 90.00 90.00 90.00°
Sites, in units of the cell vectors:
Ca (0.0000, 0.0000, 0.5000)
Ca (0.0000, 0.5000, 0.0000)
Ca (0.5000, 0.0000, 0.0000)
Ni (0.5000, 0.5000, 0.5000)
Os (0.0000, 0.0000, 0.0000)

## Properties
E_tot (eV per cell): -19.2
Symmetry: Pm-3m
Theoretical density (g cm⁻³): 3.94

***

No. 19
Ca2NiOs: optimized geometry, GGA-PBE.

Cell: 4.0318 2.9170 7.2823 Å, 66.68 90.00 90.00°
Sites, in units of the cell vectors:
Os (0.5000, 0.7500, 0.7500)
Ca (0.0000, 0.4992, 0.4994)
Ca (0.0000, 0.0008, 0.0006)
Ni (0.5000, 0.2500, 0.2500)

## Properties
E_tot (eV per cell): -19.1
Symmetry: P2/m
Theoretical density (g cm⁻³): 6.95

***

No. 20
CaNiOs: optimized geometry, GGA-PBE.

Cell: 6.5480 6.5482 2.8344 Å, 77.50 77.50 25.00°
Sites, in units of the cell vectors:
Ni (0.3110, 0.3110, 0.6891)
Os (0.6891, 0.6891, 0.3109)
Ca (0.0000, 0.0000, 0.0000)

## Properties
E_tot (eV per cell): -17.9
Symmetry: I4mm
Theoretical density (g cm⁻³): 9.58